# ScO, optimized geometry, DFT GGA-PBE
data_ScO
_chemical_formula_sum 'Sc8 O8'
_symmetry_space_group_name_H-M 'I 4/m'
_symmetry_Int_Tables_number 87
_symmetry_space_group_name_Hall '-I 4'
_cell_length_a 8.360
_cell_length_b 8.360
_cell_length_c 3.582
_cell_angle_alpha 90.00
_cell_angle_beta 90.00
_cell_angle_gamma 90.00
loop_
_atom_site_label
_atom_site_fract_x
_atom_site_fract_y
_atom_site_fract_z
_atom_site_occupancy
Sc1 0.094 0.252 0.000 1
O1 0.141 0.668 0.000 1
# * ρ: 3.23 Mg/m³
# * density of states at the Fermi level: 10.425 states/eV/cell
# * E_form (uncorrected): -2.805 eV per atom
# * crystal system: tetragonal
# * magnetization: 0.00 Bohr magnetons per cell

=====

# Sc2O3, optimized geometry, DFT GGA-PBE
data_Sc2O3
_chemical_formula_sum 'Sc12 O18'
_symmetry_space_group_name_H-M 'R -3'
_symmetry_Int_Tables_number 148
_symmetry_space_group_name_Hall '-R 3'
_cell_length_a 5.4226
_cell_length_b 5.4226
_cell_length_c 14.8490
_cell_angle_alpha 90.00
_cell_angle_beta 90.00
_cell_angle_gamma 120.00
loop_
_atom_site_label
_atom_site_fract_x
_atom_site_fract_y
_atom_site_fract_z
_atom_site_occupancy
Sc1 0.0000 0.0000 0.0000 1
Sc2 0.0000 0.0000 0.1998 1
Sc3 0.0000 0.0000 0.5000 1
O1 0.0165 0.3070 0.0941 1
# * ρ: 3.63 Mg/m³
# * density of states at the Fermi level: 0.000 states/eV/cell
# * E_form (uncorrected): -3.463 eV per atom
# * crystal system: trigonal
# * magnetization: 0.00 Bohr magnetons per cell

=====

# Sc2O3, optimized geometry, DFT GGA-PBE
data_Sc2O3
_chemical_formula_sum 'Sc32 O48'
_symmetry_space_group_name_H-M 'I a -3'
_symmetry_Int_Tables_number 206
_symmetry_space_group_name_Hall '-I 2b 2c 3'
_cell_length_a 9.913
_cell_length_b 9.913
_cell_length_c 9.913
_cell_angle_alpha 90.00
_cell_angle_beta 90.00
_cell_angle_gamma 90.00
loop_
_atom_site_label
_atom_site_fract_x
_atom_site_fract_y
_atom_site_fract_z
_atom_site_occupancy
Sc1 0.000 0.000 0.000 1
Sc2 0.000 0.250 0.286 1
O1 0.096 0.142 0.631 1
# * ρ: 3.76 Mg/m³
# * density of states at the Fermi level: 0.000 states/eV/cell
# * E_form (uncorrected): -3.550 eV per atom
# * crystal system: cubic
# * magnetization: 0.00 Bohr magnetons per cell

=====

# Sc3O, optimized geometry, DFT GGA-PBE
data_Sc3O
_chemical_formula_sum 'Sc6 O2'
_symmetry_space_group_name_H-M 'P 63/m c m'
_symmetry_Int_Tables_number 193
_symmetry_space_group_name_Hall '-P 6c 2'
_cell_length_a 5.6412
_cell_length_b 5.6412
_cell_length_c 5.3409
_cell_angle_alpha 90.00
_cell_angle_beta 90.00
_cell_angle_gamma 120.00
loop_
_atom_site_label
_atom_site_fract_x
_atom_site_fract_y
_atom_site_fract_z
_atom_site_occupancy
Sc1 0.0000 0.3182 0.2500 1
O1 0.0000 0.0000 0.0000 1
# * ρ: 3.40 Mg/m³
# * density of states at the Fermi level: 8.627 states/eV/cell
# * E_form (uncorrected): -1.460 eV per atom
# * crystal system: hexagonal
# * magnetization: 0.00 Bohr magnetons per cell

=====

# ScO, optimized geometry, DFT GGA-PBE
data_ScO
_chemical_formula_sum 'Sc4 O4'
_symmetry_space_group_name_H-M 'F m -3 m'
_symmetry_Int_Tables_number 225
_symmetry_space_group_name_Hall '-F 4 2 3'
_cell_length_a 4.478
_cell_length_b 4.478
_cell_length_c 4.478
_cell_angle_alpha 90.00
_cell_angle_beta 90.00
_cell_angle_gamma 90.00
loop_
_atom_site_label
_atom_site_fract_x
_atom_site_fract_y
_atom_site_fract_z
_atom_site_occupancy
Sc1 0.000 0.000 0.000 1
O1 0.000 0.000 0.500 1
# * ρ: 4.51 Mg/m³
# * density of states at the Fermi level: 3.052 states/eV/cell
# * E_form (uncorrected): -2.891 eV per atom
# * crystal system: cubic
# * magnetization: 0.00 Bohr magnetons per cell

=====

# Sc2O3, optimized geometry, DFT GGA-PBE
data_Sc2O3
_chemical_formula_sum 'Sc16 O24'
_symmetry_space_group_name_H-M 'P n a 21'
_symmetry_Int_Tables_number 33
_cell_length_a 5.438
_cell_length_b 9.271
_cell_length_c 10.022
_cell_angle_alpha 90.00
_cell_angle_beta 90.00
_cell_angle_gamma 90.00
loop_
_symmetry_equiv_pos_as_xyz
'x,y,z'
'-x,-y,z+1/2'
'-x+1/2,y+1/2,z+1/2'
'x+1/2,-y+1/2,z'
loop_
_atom_site_label
_atom_site_fract_x
_atom_site_fract_y
_atom_site_fract_z
_atom_site_occupancy
Sc1 0.182 0.034 0.000 1
Sc2 0.188 0.661 0.009 1
Sc3 0.193 0.347 0.783 1
Sc4 0.196 0.356 0.202 1
O1 0.014 0.827 0.129 1
O2 0.020 0.484 0.633 1
O3 0.041 0.175 0.143 1
O4 0.152 0.666 0.369 1
O5 0.154 0.992 0.410 1
O6 0.157 0.339 0.401 1
# * ρ: 3.63 Mg/m³
# * density of states at the Fermi level: 0.000 states/eV/cell
# * E_form (uncorrected): -3.470 eV per atom
# * crystal system: orthorhombic
# * magnetization: 0.00 Bohr magnetons per cell

=====

# ScO, optimized geometry, DFT GGA-PBE
data_ScO
_chemical_formula_sum 'Sc16 O16'
_symmetry_space_group_name_H-M 'F d d d'
_symmetry_Int_Tables_number 70
_cell_length_a 6.967
_cell_length_b 7.896
_cell_length_c 9.617
_cell_angle_alpha 90.00
_cell_angle_beta 90.00
_cell_angle_gamma 90.00
loop_
_symmetry_equiv_pos_as_xyz
'x,y,z'
'-x,-y,-z'
'-x+1/4,-y+1/4,z'
'x+1/4,y+1/4,-z'
'x,-y+1/4,-z+1/4'
'-x,y+1/4,z+1/4'
'-x+1/4,y,-z+1/4'
'x+1/4,-y,z+1/4'
'x,y+1/2,z+1/2'
'-x,-y+1/2,-z+1/2'
'-x+1/4,-y+3/4,z+1/2'
'x+1/4,y+3/4,-z+1/2'
'x,-y+3/4,-z+3/4'
'-x,y+3/4,z+3/4'
'-x+1/4,y+1/2,-z+3/4'
'x+1/4,-y+1/2,z+3/4'
'x+1/2,y,z+1/2'
'-x+1/2,-y,-z+1/2'
'-x+3/4,-y+1/4,z+1/2'
'x+3/4,y+1/4,-z+1/2'
'x+1/2,-y+1/4,-z+3/4'
'-x+1/2,y+1/4,z+3/4'
'-x+3/4,y,-z+3/4'
'x+3/4,-y,z+3/4'
'x+1/2,y+1/2,z'
'-x+1/2,-y+1/2,-z'
'-x+3/4,-y+3/4,z'
'x+3/4,y+3/4,-z'
'x+1/2,-y+3/4,-z+1/4'
'-x+1/2,y+3/4,z+1/4'
'-x+3/4,y+1/2,-z+1/4'
'x+3/4,-y+1/2,z+1/4'
loop_
_atom_site_label
_atom_site_fract_x
_atom_site_fract_y
_atom_site_fract_z
_atom_site_occupancy
Sc1 0.125 0.331 0.125 1
O1 0.125 0.125 0.263 1
# * ρ: 3.06 Mg/m³
# * density of states at the Fermi level: 5.864 states/eV/cell
# * E_form (uncorrected): -2.837 eV per atom
# * crystal system: orthorhombic
# * magnetization: 0.00 Bohr magnetons per cell

=====

# Sc2O3, optimized geometry, DFT GGA-PBE
data_Sc2O3
_chemical_formula_sum 'Sc4 O6'
_symmetry_space_group_name_H-M 'I 4/m m m'
_symmetry_Int_Tables_number 139
_symmetry_space_group_name_Hall '-I 4 2'
_cell_length_a 2.889
_cell_length_b 2.889
_cell_length_c 12.563
_cell_angle_alpha 90.00
_cell_angle_beta 90.00
_cell_angle_gamma 90.00
loop_
_atom_site_label
_atom_site_fract_x
_atom_site_fract_y
_atom_site_fract_z
_atom_site_occupancy
Sc1 0.000 0.000 0.132 1
O1 0.000 0.000 0.311 1
O2 0.000 0.000 0.500 1
# * ρ: 4.37 Mg/m³
# * density of states at the Fermi level: 1.003 states/eV/cell
# * E_form (uncorrected): -2.818 eV per atom
# * crystal system: tetragonal
# * magnetization: 0.00 Bohr magnetons per cell

=====

# Sc2O, optimized geometry, DFT GGA-PBE
data_Sc2O
_chemical_formula_sum 'Sc6 O3'
_symmetry_space_group_name_H-M 'R -3 m'
_symmetry_Int_Tables_number 166
_symmetry_space_group_name_Hall '-R 3 2"'
_cell_length_a 3.1995
_cell_length_b 3.1995
_cell_length_c 16.1957
_cell_angle_alpha 90.00
_cell_angle_beta 90.00
_cell_angle_gamma 120.00
loop_
_atom_site_label
_atom_site_fract_x
_atom_site_fract_y
_atom_site_fract_z
_atom_site_occupancy
Sc1 0.0000 0.0000 0.0915 1
O1 0.0000 0.0000 0.5000 1
# * ρ: 3.67 Mg/m³
# * density of states at the Fermi level: 2.212 states/eV/cell
# * E_form (uncorrected): -1.859 eV per atom
# * crystal system: trigonal
# * magnetization: 0.00 Bohr magnetons per cell

=====

# ScO, optimized geometry, DFT GGA-PBE
data_ScO
_chemical_formula_sum 'Sc6 O6'
_symmetry_space_group_name_H-M 'A m m 2'
_symmetry_Int_Tables_number 38
_cell_length_a 3.159
_cell_length_b 9.763
_cell_length_c 5.424
_cell_angle_alpha 90.00
_cell_angle_beta 90.00
_cell_angle_gamma 90.00
loop_
_symmetry_equiv_pos_as_xyz
'x,y,z'
'-x,-y,z'
'-x,y,z'
'x,-y,z'
'x,y+1/2,z+1/2'
'-x,-y+1/2,z+1/2'
'-x,y+1/2,z+1/2'
'x,-y+1/2,z+1/2'
loop_
_atom_site_label
_atom_site_fract_x
_atom_site_fract_y
_atom_site_fract_z
_atom_site_occupancy
Sc1 0.000 0.000 0.000 1
Sc2 0.500 0.184 0.568 1
O1 0.000 0.217 0.865 1
O2 0.500 0.000 0.749 1
# * ρ: 3.63 Mg/m³
# * density of states at the Fermi level: 6.615 states/eV/cell
# * E_form (uncorrected): -2.793 eV per atom
# * crystal system: orthorhombic
# * magnetization: 0.66 Bohr magnetons per cell

=====

# ScO, optimized geometry, DFT GGA-PBE
data_ScO
_chemical_formula_sum 'Sc4 O4'
_symmetry_space_group_name_H-M 'F -4 3 m'
_symmetry_Int_Tables_number 216
_symmetry_space_group_name_Hall 'F -4 2 3'
_cell_length_a 4.882
_cell_length_b 4.882
_cell_length_c 4.882
_cell_angle_alpha 90.00
_cell_angle_beta 90.00
_cell_angle_gamma 90.00
loop_
_atom_site_label
_atom_site_fract_x
_atom_site_fract_y
_atom_site_fract_z
_atom_site_occupancy
Sc1 0.000 0.000 0.000 1
O1 0.250 0.250 0.250 1
# * ρ: 3.48 Mg/m³
# * density of states at the Fermi level: 3.238 states/eV/cell
# * E_form (uncorrected): -2.763 eV per atom
# * crystal system: cubic
# * magnetization: 0.00 Bohr magnetons per cell

=====

# ScO5, optimized geometry, DFT GGA-PBE
data_ScO5
_chemical_formula_sum 'Sc2 O10'
_symmetry_space_group_name_H-M 'C 1 m 1'
_symmetry_Int_Tables_number 8
_cell_length_a 5.991
_cell_length_b 3.375
_cell_length_c 9.644
_cell_angle_alpha 90.00
_cell_angle_beta 104.64
_cell_angle_gamma 90.00
loop_
_symmetry_equiv_pos_as_xyz
'x,y,z'
'x,-y,z'
'x+1/2,y+1/2,z'
'x+1/2,-y+1/2,z'
loop_
_atom_site_label
_atom_site_fract_x
_atom_site_fract_y
_atom_site_fract_z
_atom_site_occupancy
Sc1 0.000 0.000 0.000 1
O1 0.000 0.500 0.625 1
O2 0.194 0.500 0.140 1
O3 0.305 0.000 0.937 1
O4 0.370 0.000 0.503 1
O5 0.418 0.500 0.212 1
# * ρ: 2.20 Mg/m³
# * density of states at the Fermi level: 2.695 states/eV/cell
# * E_form (uncorrected): -1.226 eV per atom
# * crystal system: monoclinic
# * magnetization: 6.02 Bohr magnetons per cell